No. 1
DFT (GGA-PBE) results for a geometry-optimized MnTlHg2 structure.

Summary:
Space group ... I4/mmm, No. 139
Energy of formation from the pure elements ... 0.34 eV per atom

Cell: 5.657 5.657 5.657 Å, 133.91 133.91 67.23°
Site moments in Bohr magnetons follow the coordinates.
Positions (direct):
1 Tl 0.750 0.250 0.500  -0.02
2 Mn 0.250 0.750 0.500  4.09
3 Hg 0.500 0.500 0.000  0.01
4 Hg 0.000 0.000 0.000  0.01



No. 2
DFT (GGA-PBE) results for a geometry-optimized Bi2Pd8Se structure.

Summary:
E_form (uncorrected) ... -208 kJ/mol of formula units
Space group ... C2/m, No. 12

Cell: 4.679 6.059 7.968 Å, 112.25 107.08 90.00°
Positions (direct):
1 Pd 0.812 0.811 0.625
2 Pd 0.364 0.120 0.727
3 Pd 0.188 0.189 0.375
4 Pd 0.365 0.607 0.730
5 Pd 0.000 0.236 0.999
6 Pd 0.635 0.393 0.270
7 Pd 0.000 0.764 0.001
8 Pd 0.636 0.880 0.273
9 Se 0.500 0.000 0.000
10 Bi 0.179 0.679 0.357
11 Bi 0.821 0.321 0.643